1.
A plane-wave DFT calculation with PBE was carried out for a relaxed Sr3SnGe2Au6 crystal.

- Crystal system: trigonal
- Energy of formation: -0.48 eV/atom
- E_tot: -3.64 eV/atom

Cell and atoms, written as extended XYZ:
```
12
Lattice="-0.5829 2.7792 -6.0179 -5.1229 -3.3278 2.6383 -2.7663 7.0533 3.5252" Properties=species:S:1:pos:R:3 pbc="T T T"
Sr -5.4341 3.3599 2.0780
Sr -3.0380 3.1447 -1.9324
Sr 0.0000 0.0000 0.0000
Sn -1.3831 3.5266 1.7626
Ge -4.6897 7.3562 0.1725
Ge -3.7824 -0.8516 -0.0269
Au -5.3564 1.0812 -0.6455
Au -2.7762 1.3293 0.8828
Au -5.0928 -0.1756 2.0758
Au -5.6958 5.1754 -0.7372
Au -3.1156 5.4235 0.7911
Au -3.3792 6.6802 -1.9302
```

=====

2.
A plane-wave DFT calculation with PBE was carried out for a relaxed Sr2SnGe2Au6 crystal.

- Crystal system: trigonal
- Energy of formation: -0.31 eV/atom
- E_tot: -3.60 eV/atom

Cell and atoms, written as extended XYZ:
```
11
Lattice="-2.9400 -3.3409 5.3456 2.2244 -6.3444 1.7835 5.2267 0.1212 7.4757" Properties=species:S:1:pos:R:3 pbc="T T T"
Sr 2.8005 -7.5303 10.4098
Sr 1.7105 -2.0338 4.1949
Sn 0.0000 0.0000 0.0000
Ge 3.0921 -4.2693 8.0829
Ge 1.4189 -5.2948 6.5218
Au 0.9234 -7.4310 7.6046
Au 2.6714 -5.4447 4.4265
Au -0.3991 -3.6590 6.5442
Au 4.9101 -5.9051 8.0605
Au 1.8397 -4.1194 10.1783
Au 3.5876 -2.1331 7.0001
```

=====

3.
A plane-wave DFT calculation with PBE was carried out for a relaxed Ta2SnGeAu crystal.

- Crystal system: tetragonal
- Energy of formation: 1.75 eV/atom
- E_tot: -5.37 eV/atom

Cell and atoms, written as extended XYZ:
```
5
Lattice="-1.3596 -3.1786 -3.8120 0.9556 -3.8833 2.8972 -4.8624 0.0600 1.6842" Properties=species:S:1:pos:R:3 pbc="T T T"
Ge -2.6332 -3.5009 0.3847
Au 0.4778 -1.9417 1.4486
Sn 0.0000 0.0000 0.0000
Ta -2.4312 0.0300 0.8421
Ta -0.6798 -1.5893 -1.9060
```

=====

4.
A plane-wave DFT calculation with PBE was carried out for a relaxed Sn2GeTe4Au crystal.

- Crystal system: monoclinic
- Formation energy (no corrections): -0.143 eV per atom
- E_tot: -3.70 eV/atom

Cell and atoms, written as extended XYZ:
```
8
Lattice="4.3277 0.0000 0.0000 0.0000 7.4933 -0.1107 0.0000 2.6716 7.0262" Properties=species:S:1:pos:R:3 pbc="T T T"
Sn 0.0000 2.6716 7.0262
Sn 2.1639 1.3358 3.5131
Ge 0.0000 5.0824 3.4578
Te 0.0001 7.5032 5.2437
Te 4.3277 2.6616 1.6719
Te 2.1639 6.1817 1.7210
Te 2.1639 3.9831 5.1946
Au 2.1639 3.7466 -0.0553
```

=====

5.
A plane-wave DFT calculation with PBE was carried out for a relaxed SnGe2TeAu crystal.

- Crystal system: tetragonal
- Formation energy (no corrections): 0.458 eV per atom
- E_tot: -3.47 eV/atom

Cell and atoms, written as extended XYZ:
```
5
Lattice="4.9773 0.0000 0.0000 0.0000 5.7761 0.0000 0.0000 0.0000 4.9773" Properties=species:S:1:pos:R:3 pbc="T T T"
Ge 0.0000 0.0000 2.4887
Ge 2.4887 0.0000 0.0000
Te 0.0000 2.8881 0.0000
Au 0.0000 0.0000 0.0000
Sn 2.4887 2.8881 2.4887
```

=====

6.
A plane-wave DFT calculation with PBE was carried out for a relaxed TlSnGe2Au crystal.

- Crystal system: tetragonal
- Energy of formation: 1.04 eV/atom
- E_tot: -2.74 eV/atom

Cell and atoms, written as extended XYZ:
```
5
Lattice="5.2930 0.0000 0.0000 0.0000 5.7626 0.0000 0.0000 0.0000 5.2930" Properties=species:S:1:pos:R:3 pbc="T T T"
Ge 0.0000 0.0000 2.6465
Ge 2.6465 0.0000 0.0000
Tl 0.0000 0.0000 0.0000
Au 2.6465 2.8813 2.6465
Sn 0.0000 2.8813 0.0000
```